Record 1
Here is a geometry-optimized Ba3Pr3ErSe8 structure from Alexandria. Energies are from GGA-PBE.

Geometry as POSCAR:
```
Ba3Pr3ErSe8
1.0
4.3344 2.5025 7.5804
-4.3344 2.5025 7.5804
0.0000 -5.0049 7.5804
Ba Pr Er Se
3 3 1 8
direct
0.0000 0.5000 0.5000
0.5000 0.0000 0.5000
0.5000 0.5000 0.0000
0.0000 0.0000 0.5000
0.0000 0.5000 0.0000
0.5000 0.0000 0.0000
0.5000 0.5000 0.5000
0.2419 0.2419 0.2419
0.2506 0.7319 0.7319
0.2681 0.2681 0.7494
0.2681 0.7494 0.2681
0.7319 0.2506 0.7319
0.7319 0.7319 0.2506
0.7494 0.2681 0.2681
0.7581 0.7581 0.7581
```

Calculated values
SG = No. 166
Fermi-level density of states = 3.90 states/eV/cell
Total moment = 0.0 μB per cell
Calculated total energy = -5.439 eV/atom

***

Record 2
Here is a geometry-optimized Li4Cd2In structure from Alexandria. Energies are from GGA-PBE.

Geometry as POSCAR:
```
Li4Cd2In
1.0
-4.1354 4.1354 4.1398
4.1354 -4.1354 4.1398
4.1354 4.1354 -4.1398
Li Cd In
8 4 2
direct
0.1279 0.7144 0.7454
0.1325 0.2190 0.7546
0.2856 0.0310 0.4135
0.4644 0.3779 0.2454
0.6175 0.8721 0.5865
0.6221 0.8675 0.0865
0.7810 0.5356 0.9135
0.9690 0.3825 0.2546
0.2468 0.6250 0.1218
0.3750 0.4968 0.6218
0.5032 0.1250 0.8782
0.8750 0.7532 0.3782
0.0000 0.0000 0.0000
0.7500 0.2500 0.5000
```

Calculated values
SG = No. 122
Fermi-level density of states = 7.00 states/eV/cell
Total moment = 0.0 μB per cell
Energy above the most stable polymorph in this dataset = 28.3 meV per atom

***

Record 3
Here is a geometry-optimized Sc4Pt7Rh structure from Alexandria. Energies are from GGA-PBE.

Geometry as POSCAR:
```
Sc4Pt7Rh
1.0
5.5354 0.0000 0.0000
-1.1951 5.4400 0.0000
-1.0487 -1.4591 6.7337
Sc Pt Rh
4 7 1
direct
0.0000 0.0000 0.0000
0.1301 0.6574 0.5926
0.5122 0.4522 0.9822
0.6792 0.0994 0.6145
0.0167 0.4914 0.9480
0.1931 0.1700 0.6367
0.2856 0.4043 0.2972
0.4762 0.9283 0.9307
0.6497 0.5984 0.6463
0.7646 0.2919 0.2890
0.8061 0.8052 0.2982
0.3238 0.9145 0.2913
```

Calculated values
SG = No. 1
Fermi-level density of states = 7.22 states/eV/cell
Total moment = 0.0 μB per cell
Calculated total energy = -7.242 eV/atom

***

Record 4
Here is a geometry-optimized SbHPb structure from Alexandria. Energies are from GGA-PBE.

Geometry as POSCAR:
```
SbHPb
1.0
-2.2437 2.2437 3.6443
2.2437 -2.2437 3.6443
2.2437 2.2437 -3.6443
Sb H Pb
1 1 1
direct
0.0000 0.0000 0.0000
0.7426 0.7426 0.0000
0.4484 0.4484 0.0000
```

Calculated values
SG = No. 107
Fermi-level density of states = 1.88 states/eV/cell
Total moment = 0.0 μB per cell
Energy above the most stable polymorph in this dataset = 164.2 meV per atom

***

Record 5
Here is a geometry-optimized AcCdB2O6 structure from Alexandria. Energies are from GGA-PBE.

Geometry as POSCAR:
```
AcCdB2O6
1.0
4.5769 -4.8603 0.0000
4.5769 4.8603 0.0000
-2.1003 0.0000 6.0935
Ac Cd B O
2 2 4 12
direct
0.1459 0.8541 0.7500
0.8541 0.1459 0.2500
0.4209 0.5791 0.2500
0.5791 0.4209 0.7500
0.0917 0.3927 0.7524
0.3927 0.0917 0.2524
0.6073 0.9083 0.7476
0.9083 0.6073 0.2476
0.0767 0.1899 0.6414
0.0822 0.5049 0.2806
0.1899 0.0767 0.1414
0.2776 0.5080 0.8712
0.4920 0.7224 0.6288
0.4951 0.9178 0.2194
0.5049 0.0822 0.7806
0.5080 0.2776 0.3712
0.7224 0.4920 0.1288
0.8101 0.9233 0.8586
0.9178 0.4951 0.7194
0.9233 0.8101 0.3586
```

Calculated values
SG = No. 15
Fermi-level density of states = 7.28 states/eV/cell
Total moment = 2.0 μB per cell
Calculated total energy = -7.101 eV/atom

***

Record 6
Here is a geometry-optimized CsTePt2F structure from Alexandria. Energies are from GGA-PBE.

Geometry as POSCAR:
```
CsTePt2F
1.0
4.8285 0.0000 0.0000
0.0000 4.8285 0.0000
0.0000 0.0000 5.1149
Cs Te Pt F
1 1 2 1
direct
0.0000 0.0000 0.0000
0.5000 0.5000 0.0000
0.0000 0.5000 0.5000
0.5000 0.0000 0.5000
0.0000 0.0000 0.5000
```

Calculated values
SG = No. 123
Fermi-level density of states = 3.95 states/eV/cell
Total moment = 0.0 μB per cell
Calculated total energy = -3.221 eV/atom

***

Record 7
Here is a geometry-optimized Nd3RhCl3 structure from Alexandria. Energies are from GGA-PBE.

Geometry as POSCAR:
```
Nd3RhCl3
1.0
-5.9007 5.9007 5.9007
5.9007 -5.9007 5.9007
5.9007 5.9007 -5.9007
Nd Rh Cl
12 4 12
direct
0.0115 0.0231 0.2615
0.0115 0.4885 0.7500
0.0231 0.2615 0.0115
0.2385 0.2615 0.7500
0.2385 0.4769 0.4885
0.2615 0.0115 0.0231
0.2615 0.7500 0.2385
0.4769 0.4885 0.2385
0.4885 0.2385 0.4769
0.4885 0.7500 0.0115
0.7500 0.0115 0.4885
0.7500 0.2385 0.2615
0.0000 0.2500 0.5000
0.2500 0.2500 0.2500
0.2500 0.5000 0.0000
0.5000 0.0000 0.2500
0.2500 0.7507 0.7493
0.2500 0.9993 0.5007
0.5007 0.2500 0.9993
0.5014 0.5007 0.7507
0.5007 0.7507 0.5014
0.7493 0.2500 0.7507
0.7493 0.9993 0.9986
0.7507 0.5014 0.5007
0.7507 0.7493 0.2500
0.9993 0.5007 0.2500
0.9986 0.7493 0.9993
0.9993 0.9986 0.7493
```

Calculated values
SG = No. 214
Fermi-level density of states = 12.97 states/eV/cell
Total moment = 0.0 μB per cell
Calculated total energy = -5.445 eV/atom

***

Record 8
Here is a geometry-optimized LaFe5H12 structure from Alexandria. Energies are from GGA-PBE.

Geometry as POSCAR:
```
LaFe5H12
1.0
5.7455 0.0000 0.0000
-2.8728 4.9758 0.0000
0.0000 0.0000 4.2239
La Fe H
1 5 12
direct
0.0000 0.0000 0.0000
0.0000 0.5000 0.5000
0.3333 0.6667 0.0000
0.5000 0.0000 0.5000
0.5000 0.5000 0.5000
0.6667 0.3333 0.0000
0.2119 0.4239 0.2650
0.2119 0.4239 0.7350
0.2119 0.7881 0.2650
0.2119 0.7881 0.7350
0.4239 0.2119 0.2650
0.4239 0.2119 0.7350
0.5761 0.7881 0.2650
0.5761 0.7881 0.7350
0.7881 0.2119 0.2650
0.7881 0.2119 0.7350
0.7881 0.5761 0.2650
0.7881 0.5761 0.7350
```

Calculated values
SG = No. 191
Fermi-level density of states = 10.97 states/eV/cell
Total moment = 5.4 μB per cell
Calculated total energy = -4.945 eV/atom

***

Record 9
Here is a geometry-optimized BaLiPRh2 structure from Alexandria. Energies are from GGA-PBE.

Geometry as POSCAR:
```
BaLiPRh2
1.0
4.5865 0.0000 0.0000
0.0000 4.5865 0.0000
0.0000 0.0000 4.8028
Ba Li P Rh
1 1 1 2
direct
0.0000 0.0000 0.0000
0.5000 0.5000 0.0000
0.5000 0.5000 0.5000
0.0000 0.5000 0.5000
0.5000 0.0000 0.5000
```

Calculated values
SG = No. 123
Fermi-level density of states = 3.36 states/eV/cell
Total moment = 0.0 μB per cell
Calculated total energy = -5.249 eV/atom